Material: DyY2Zr
Method: DFT, PBE
State: relaxed

POSCAR file:
```
DyY2Zr
1.0
-0.384 -3.452 0.155
2.695 -2.011 0.885
-2.165 -1.012 11.130
Dy Y Zr
1 2 1
Direct
0.500 0.500 0.499 Dy
0.079 0.079 0.764 Y
0.254 0.254 0.237 Y
0.666 0.666 0.001 Zr
```

Computed properties:
space-group type: No. 160
DOS(E_F): 6.7 states/eV/f.u.
VASP energy: -25.744 eV per cell
offset from the most stable computed form: 0.000 eV/atom
DFT formation energy: 84 meV per atom